Entry 1:
Entry from Alexandria via LeMat-Bulk: a relaxed structure of GaPbSe2Br (PBE).

Computed properties:
**Crystal system**: tetragonal
**Final energy**: -15.09 eV per cell
**ΔE_f (raw)**: 27 kJ/mol of formula units
**DOS at the Fermi energy**: 1.6 states/eV/cell

abc: 5.4369 5.4369 5.8819
angles: 90.00 90.00 90.00
Space group P4/mmm (No. 123)
Inequivalent atoms, fractional coordinates:
Ga1 0.0000 0.0000 0.0000 x1
Pb1 0.5000 0.5000 0.5000 x1
Se1 0.0000 0.5000 0.5000 x2
Br1 0.5000 0.5000 0.0000 x1



Entry 2:
Entry from Alexandria via LeMat-Bulk: a relaxed structure of GaPbSe2Br (PBE).

Computed properties:
**Crystal system**: tetragonal
**Final energy**: -16.62 eV per cell
**ΔE_f (raw)**: -120 kJ/mol of formula units
**DOS at the Fermi energy**: 1.9 states/eV/cell

abc: 5.0889 5.0889 5.1597
angles: 90.00 90.00 90.00
Space group P4/mmm (No. 123)
Inequivalent atoms, fractional coordinates:
Ga1 0.0000 0.0000 0.0000 x1
Pb1 0.5000 0.5000 0.5000 x1
Se1 0.0000 0.5000 0.0000 x2
Br1 0.0000 0.0000 0.5000 x1



Entry 3:
Entry from Alexandria via LeMat-Bulk: a relaxed structure of GaPbSeBr2 (PBE).

Computed properties:
**Crystal system**: tetragonal
**Final energy**: -15.29 eV per cell
**ΔE_f (raw)**: -166 kJ/mol of formula units
**DOS at the Fermi energy**: 1.5 states/eV/cell

abc: 5.2134 5.2134 5.1161
angles: 90.00 90.00 90.00
Space group P4/mmm (No. 123)
Inequivalent atoms, fractional coordinates:
Ga1 0.0000 0.0000 0.0000 x1
Pb1 0.5000 0.5000 0.5000 x1
Se1 0.0000 0.0000 0.5000 x1
Br1 0.0000 0.5000 0.0000 x2



Entry 4:
Entry from Alexandria via LeMat-Bulk: a relaxed structure of Ga2SnPbBr6 (PBE).

Computed properties:
**Crystal system**: monoclinic
**Final energy**: -61.74 eV per cell
**ΔE_f (raw)**: -682 kJ/mol of formula units
**DOS at the Fermi energy**: 0.0 states/eV/cell

abc: 7.4567 8.2568 13.4041
angles: 90.00 123.72 90.00
Space group P2_1/c (No. 14)
Inequivalent atoms, fractional coordinates:
Ga1 0.2214 0.0661 0.2472 x4
Sn1 0.0000 0.0000 0.5000 x2
Pb1 0.5000 0.0000 0.0000 x2
Br1 0.0903 0.1815 0.9312 x4
Br2 0.2625 0.6770 0.9288 x4
Br3 0.3996 0.0571 0.7473 x4



Entry 5:
Entry from Alexandria via LeMat-Bulk: a relaxed structure of Ga2TcPbBr (PBE).

Computed properties:
**Crystal system**: tetragonal
**Final energy**: -21.74 eV per cell
**ΔE_f (raw)**: 6 kJ/mol of formula units
**DOS at the Fermi energy**: 2.8 states/eV/cell

abc: 4.8919 4.8919 5.3981
angles: 90.00 90.00 90.00
Space group P4/mmm (No. 123)
Inequivalent atoms, fractional coordinates:
Ga1 0.0000 0.5000 0.0000 x2
Tc1 0.0000 0.0000 0.0000 x1
Pb1 0.0000 0.0000 0.5000 x1
Br1 0.5000 0.5000 0.5000 x1



Entry 6:
Entry from Alexandria via LeMat-Bulk: a relaxed structure of TlGaPbBr4 (PBE).

Computed properties:
**Crystal system**: monoclinic
**Final energy**: -42.00 eV per cell
**ΔE_f (raw)**: -503 kJ/mol of formula units
**DOS at the Fermi energy**: 0.0 states/eV/cell

abc: 6.1248 7.3091 10.9726
angles: 90.00 97.01 90.00
Space group P2_1/m (No. 11)
Inequivalent atoms, fractional coordinates:
Tl1 0.2171 0.2500 0.0608 x2
Ga1 0.0297 0.7500 0.5722 x2
Pb1 0.2528 0.7500 0.3331 x2
Br1 0.1115 0.0031 0.7463 x4
Br2 0.3065 0.7500 0.0648 x2
Br3 0.3901 0.2500 0.4000 x2



Entry 7:
Entry from Alexandria via LeMat-Bulk: a relaxed structure of Tl2GaPbBr5 (PBE).

Computed properties:
**Crystal system**: orthorhombic
**Final energy**: -107.85 eV per cell
**ΔE_f (raw)**: -688 kJ/mol of formula units
**DOS at the Fermi energy**: 0.0 states/eV/cell

abc: 4.5135 19.0901 16.1691
angles: 90.00 90.00 90.00
Space group Cmc2_1 (No. 36)
Inequivalent atoms, fractional coordinates:
Tl1 0.0000 0.0743 0.0000 x4
Tl2 0.0000 0.1370 0.6062 x4
Ga1 0.0000 0.4556 0.7886 x4
Pb1 0.0000 0.2397 0.3662 x4
Br1 0.0000 0.0813 0.4067 x4
Br2 0.0000 0.2537 0.0001 x4
Br3 0.0000 0.2832 0.7424 x4
Br4 0.0000 0.3967 0.3488 x4
Br5 0.0000 0.4864 0.1116 x4



Entry 8:
Entry from Alexandria via LeMat-Bulk: a relaxed structure of GaPdBr2 (PBE).

Computed properties:
**Crystal system**: tetragonal
**Final energy**: -48.09 eV per cell
**ΔE_f (raw)**: -44 kJ/mol of formula units
**DOS at the Fermi energy**: 2.5 states/eV/cell

abc: 6.1233 6.1233 14.2155
angles: 90.00 90.00 90.00
Space group I-42d (No. 122)
Inequivalent atoms, fractional coordinates:
Ga1 0.0000 0.0000 0.0000 x4
Pd1 0.0000 0.0000 0.5000 x4
Br1 0.1857 0.2500 0.6250 x8



Entry 9:
Entry from Alexandria via LeMat-Bulk: a relaxed structure of Ga6PdBr12 (PBE).

Computed properties:
**Crystal system**: trigonal
**Final energy**: -166.99 eV per cell
**ΔE_f (raw)**: -1181 kJ/mol of formula units
**DOS at the Fermi energy**: 37.0 states/eV/cell

abc: 17.3295 17.3295 10.0597
angles: 90.00 90.00 120.00
Space group R-3 (No. 148, hexagonal axes)
Inequivalent atoms, fractional coordinates:
Ga1 0.0081 0.8819 0.3709 x18
Pd1 0.0000 0.0000 0.5000 x3
Br1 0.0021 0.8342 0.1553 x18
Br2 0.0830 0.5236 0.1556 x18



Entry 10:
Entry from Alexandria via LeMat-Bulk: a relaxed structure of GaPdBr3 (PBE).

Computed properties:
**Crystal system**: cubic
**Final energy**: -12.89 eV per cell
**ΔE_f (raw)**: 34 kJ/mol of formula units
**DOS at the Fermi energy**: 12.6 states/eV/cell

abc: 5.1965 5.1965 5.1965
angles: 90.00 90.00 90.00
Space group Pm-3m (No. 221)
Inequivalent atoms, fractional coordinates:
Ga1 0.0000 0.0000 0.0000 x1
Pd1 0.5000 0.5000 0.5000 x1
Br1 0.0000 0.0000 0.5000 x3



Entry 11:
Entry from Alexandria via LeMat-Bulk: a relaxed structure of GaPdBr2 (PBE).

Computed properties:
**Crystal system**: trigonal
**Final energy**: -35.47 eV per cell
**ΔE_f (raw)**: -25 kJ/mol of formula units
**DOS at the Fermi energy**: 19.5 states/eV/cell

abc: 4.0908 4.0908 25.1580
angles: 90.00 90.00 120.00
Space group R-3m (No. 166, hexagonal axes)
Inequivalent atoms, fractional coordinates:
Ga1 0.0000 0.0000 0.0000 x3
Pd1 0.0000 0.0000 0.5000 x3
Br1 0.0000 0.0000 0.4033 x6



Entry 12:
Entry from Alexandria via LeMat-Bulk: a relaxed structure of GaPdBr2 (PBE).

Computed properties:
**Crystal system**: cubic
**Final energy**: -45.54 eV per cell
**ΔE_f (raw)**: 17 kJ/mol of formula units
**DOS at the Fermi energy**: 33.1 states/eV/cell

abc: 7.1366 7.1366 7.1366
angles: 90.00 90.00 90.00
Space group Fm-3m (No. 225)
Inequivalent atoms, fractional coordinates:
Ga1 0.0000 0.0000 0.0000 x4
Pd1 0.0000 0.0000 0.5000 x4
Br1 0.2500 0.2500 0.2500 x8



Entry 13:
Entry from Alexandria via LeMat-Bulk: a relaxed structure of GaPdBr3 (PBE).

Computed properties:
**Crystal system**: cubic
**Final energy**: -14.80 eV per cell
**ΔE_f (raw)**: -150 kJ/mol of formula units
**DOS at the Fermi energy**: 1.2 states/eV/cell

abc: 5.1883 5.1883 5.1883
angles: 90.00 90.00 90.00
Space group Pm-3m (No. 221)
Inequivalent atoms, fractional coordinates:
Ga1 0.0000 0.0000 0.0000 x1
Pd1 0.5000 0.5000 0.5000 x1
Br1 0.0000 0.5000 0.5000 x3



Entry 14:
Entry from Alexandria via LeMat-Bulk: a relaxed structure of Ga3PdBr (PBE).

Computed properties:
**Crystal system**: cubic
**Final energy**: -17.98 eV per cell
**ΔE_f (raw)**: -196 kJ/mol of formula units
**DOS at the Fermi energy**: 0.5 states/eV/cell

abc: 4.9132 4.9132 4.9132
angles: 90.00 90.00 90.00
Space group Pm-3m (No. 221)
Inequivalent atoms, fractional coordinates:
Ga1 0.0000 0.0000 0.5000 x3
Pd1 0.0000 0.0000 0.0000 x1
Br1 0.5000 0.5000 0.5000 x1



Entry 15:
Entry from Alexandria via LeMat-Bulk: a relaxed structure of GaPdBr6 (PBE).

Computed properties:
**Crystal system**: monoclinic
**Final energy**: -43.78 eV per cell
**ΔE_f (raw)**: -351 kJ/mol of formula units
**DOS at the Fermi energy**: 2.9 states/eV/cell

abc: 6.7625 12.1401 6.5726
angles: 90.00 96.67 90.00
Space group C2/m (No. 12)
Inequivalent atoms, fractional coordinates:
Ga1 0.0000 0.0000 0.0000 x2
Pd1 0.0000 0.0000 0.5000 x2
Br1 0.1381 0.1411 0.2788 x8
Br2 0.1887 0.5000 0.1768 x4



Entry 16:
Entry from Alexandria via LeMat-Bulk: a relaxed structure of Ga3PdBr (PBE).

Computed properties:
**Crystal system**: cubic
**Final energy**: -12.47 eV per cell
**ΔE_f (raw)**: 335 kJ/mol of formula units
**DOS at the Fermi energy**: 1.8 states/eV/cell

abc: 5.4615 5.4615 5.4615
angles: 90.00 90.00 90.00
Space group Pm-3m (No. 221)
Inequivalent atoms, fractional coordinates:
Ga1 0.0000 0.0000 0.5000 x3
Pd1 0.5000 0.5000 0.5000 x1
Br1 0.0000 0.0000 0.0000 x1



Entry 17:
Entry from Alexandria via LeMat-Bulk: a relaxed structure of Rb2GaPdBr6 (PBE).

Computed properties:
**Crystal system**: tetragonal
**Final energy**: -60.20 eV per cell
**ΔE_f (raw)**: -956 kJ/mol of formula units
**DOS at the Fermi energy**: 10.2 states/eV/cell

abc: 7.5699 7.5699 10.7297
angles: 90.00 90.00 90.00
Space group I4/mmm (No. 139)
Inequivalent atoms, fractional coordinates:
Rb1 0.0000 0.5000 0.2500 x4
Ga1 0.0000 0.0000 0.0000 x2
Pd1 0.0000 0.0000 0.5000 x2
Br1 0.0000 0.0000 0.2421 x4
Br2 0.2451 0.2451 0.5000 x8



Entry 18:
Entry from Alexandria via LeMat-Bulk: a relaxed structure of RbGaPdBr2 (PBE).

Computed properties:
**Crystal system**: tetragonal
**Final energy**: -16.09 eV per cell
**ΔE_f (raw)**: -343 kJ/mol of formula units
**DOS at the Fermi energy**: 0.7 states/eV/cell

abc: 5.7169 5.7169 4.7746
angles: 90.00 90.00 90.00
Space group P4/mmm (No. 123)
Inequivalent atoms, fractional coordinates:
Rb1 0.0000 0.0000 0.0000 x1
Ga1 0.5000 0.5000 0.0000 x1
Pd1 0.5000 0.5000 0.5000 x1
Br1 0.0000 0.5000 0.5000 x2



Entry 19:
Entry from Alexandria via LeMat-Bulk: a relaxed structure of RbGa2PdBr8 (PBE).

Computed properties:
**Crystal system**: trigonal
**Final energy**: -35.57 eV per cell
**ΔE_f (raw)**: -963 kJ/mol of formula units
**DOS at the Fermi energy**: 6.6 states/eV/cell

abc: 6.8758 6.8758 9.8539
angles: 90.00 90.00 120.00
Space group P-3 (No. 147)
Inequivalent atoms, fractional coordinates:
Rb1 0.0000 0.0000 0.0000 x1
Ga1 0.3333 0.6667 0.7430 x2
Pd1 0.0000 0.0000 0.5000 x1
Br1 0.0107 0.3276 0.6706 x6
Br2 0.3333 0.6667 0.9836 x2



Entry 20:
Entry from Alexandria via LeMat-Bulk: a relaxed structure of Ga2PdRuBr (PBE).

Computed properties:
**Crystal system**: tetragonal
**Final energy**: -19.97 eV per cell
**ΔE_f (raw)**: 215 kJ/mol of formula units
**DOS at the Fermi energy**: 4.0 states/eV/cell

abc: 4.7747 4.7747 5.0361
angles: 90.00 90.00 90.00
Space group P4/mmm (No. 123)
Inequivalent atoms, fractional coordinates:
Ga1 0.0000 0.5000 0.0000 x2
Pd1 0.0000 0.0000 0.5000 x1
Ru1 0.5000 0.5000 0.0000 x1
Br1 0.5000 0.5000 0.5000 x1



Entry 21:
Entry from Alexandria via LeMat-Bulk: a relaxed structure of GaPdSe2Br (PBE).

Computed properties:
**Crystal system**: tetragonal
**Final energy**: -14.64 eV per cell
**ΔE_f (raw)**: 214 kJ/mol of formula units
**DOS at the Fermi energy**: 5.9 states/eV/cell

abc: 4.9855 4.9855 5.0976
angles: 90.00 90.00 90.00
Space group P4/mmm (No. 123)
Inequivalent atoms, fractional coordinates:
Ga1 0.0000 0.0000 0.0000 x1
Pd1 0.5000 0.5000 0.5000 x1
Se1 0.0000 0.5000 0.0000 x2
Br1 0.0000 0.0000 0.5000 x1



Entry 22:
Entry from Alexandria via LeMat-Bulk: a relaxed structure of GaPdSeBr2 (PBE).

Computed properties:
**Crystal system**: tetragonal
**Final energy**: -15.45 eV per cell
**ΔE_f (raw)**: -39 kJ/mol of formula units
**DOS at the Fermi energy**: 3.5 states/eV/cell

abc: 5.2822 5.2822 4.9117
angles: 90.00 90.00 90.00
Space group P4/mmm (No. 123)
Inequivalent atoms, fractional coordinates:
Ga1 0.0000 0.0000 0.0000 x1
Pd1 0.5000 0.5000 0.5000 x1
Se1 0.5000 0.5000 0.0000 x1
Br1 0.0000 0.5000 0.5000 x2



Entry 23:
Entry from Alexandria via LeMat-Bulk: a relaxed structure of GaPdSeBr2 (PBE).

Computed properties:
**Crystal system**: tetragonal
**Final energy**: -13.68 eV per cell
**ΔE_f (raw)**: 133 kJ/mol of formula units
**DOS at the Fermi energy**: 5.3 states/eV/cell

abc: 5.1294 5.1294 5.0591
angles: 90.00 90.00 90.00
Space group P4/mmm (No. 123)
Inequivalent atoms, fractional coordinates:
Ga1 0.0000 0.0000 0.0000 x1
Pd1 0.5000 0.5000 0.5000 x1
Se1 0.0000 0.0000 0.5000 x1
Br1 0.0000 0.5000 0.0000 x2



Entry 24:
Entry from Alexandria via LeMat-Bulk: a relaxed structure of GaPdSe2Br (PBE).

Computed properties:
**Crystal system**: tetragonal
**Final energy**: -16.30 eV per cell
**ΔE_f (raw)**: 54 kJ/mol of formula units
**DOS at the Fermi energy**: 6.3 states/eV/cell

abc: 4.9659 4.9659 5.3427
angles: 90.00 90.00 90.00
Space group P4/mmm (No. 123)
Inequivalent atoms, fractional coordinates:
Ga1 0.0000 0.0000 0.0000 x1
Pd1 0.5000 0.5000 0.5000 x1
Se1 0.0000 0.5000 0.5000 x2
Br1 0.5000 0.5000 0.0000 x1



Entry 25:
Entry from Alexandria via LeMat-Bulk: a relaxed structure of Sr2GaPdBr (PBE).

Computed properties:
**Crystal system**: tetragonal
**Final energy**: -16.45 eV per cell
**ΔE_f (raw)**: -308 kJ/mol of formula units
**DOS at the Fermi energy**: 3.0 states/eV/cell

abc: 6.1156 6.1156 4.6079
angles: 90.00 90.00 90.00
Space group P4/mmm (No. 123)
Inequivalent atoms, fractional coordinates:
Sr1 0.0000 0.5000 0.0000 x2
Ga1 0.0000 0.0000 0.0000 x1
Pd1 0.0000 0.0000 0.5000 x1
Br1 0.5000 0.5000 0.5000 x1